Entry 1:
DFT (GGA-PBE) results for an optimized crystal structure of AcDy5Y.

Summary:
- Space-group type: C2/c (15)
- Size of the total moment: 0.0000 μB/atom
- Calculated density: 7.9 Mg/m³
- E_form: 99 meV/atom

Cell: 6.6431 6.6431 11.9731 Å, 106.55 106.55 95.63°
Positions (direct):
1 Dy 0.9627 0.6167 0.6687
2 Y 0.5172 0.4828 0.2500
3 Dy 0.3833 0.0373 0.8313
4 Dy 0.6167 0.9627 0.1687
5 Dy 0.5283 0.2382 0.4654
6 Dy 0.8233 0.1767 0.7500
7 Dy 0.7618 0.4717 0.0346
8 Dy 0.0373 0.3833 0.3313
9 Ac 0.0000 0.0000 0.5000
10 Y 0.4828 0.5172 0.7500
11 Dy 0.4717 0.7618 0.5346
12 Ac 0.0000 0.0000 0.0000
13 Dy 0.1767 0.8233 0.2500
14 Dy 0.2382 0.5283 0.9654

Entry 2:
DFT (GGA-PBE) results for an optimized crystal structure of KZn4Co.

Summary:
- Space-group type: F-43m (216)
- Size of the total moment: 0.2659 μB/atom
- Calculated density: 5.7 Mg/m³
- E_form: 384 meV/atom

Cell: 5.3054 5.3054 5.3054 Å, 60.00 60.00 60.00°
Positions (direct):
1 Zn 0.3771 0.3771 0.8688
2 Zn 0.3771 0.8688 0.3771
3 Zn 0.3771 0.3771 0.3771
4 Co 0.7500 0.7500 0.7500
5 Zn 0.8688 0.3771 0.3771
6 K 0.0000 0.0000 0.0000

Entry 3:
DFT (GGA-PBE) results for an optimized crystal structure of Sc5Te2.

Summary:
- Space-group type: Cmcm (63)
- Energy relative to the elements, uncorrected: -0.67 eV/atom
- Size of the total moment: 0.0515 μB/atom
- Calculated density: 4.9 Mg/m³

Cell: 4.2064 4.1803 18.5434 Å, 90.00 96.51 90.00°
Positions (direct):
1 Te 0.6907 0.7500 0.3813
2 Te 0.3093 0.2500 0.6187
3 Sc 0.8258 0.7500 0.6515
4 Te 0.9057 0.7500 0.8114
5 Sc 0.3883 0.2500 0.7766
6 Te 0.0943 0.2500 0.1886
7 Sc 0.7501 0.2500 0.5001
8 Sc 0.6117 0.7500 0.2234
9 Sc 0.5343 0.2500 0.0685
10 Sc 0.0328 0.7500 0.0656
11 Sc 0.9672 0.2500 0.9344
12 Sc 0.2499 0.7500 0.4999
13 Sc 0.1742 0.2500 0.3485
14 Sc 0.4657 0.7500 0.9315

Entry 4:
DFT (GGA-PBE) results for an optimized crystal structure of KAlAs.

Summary:
- Space-group type: F-43m (216)
- Size of the total moment: 0.0001 μB/atom
- Calculated density: 2.6 Mg/m³
- E_form: 681 meV/atom

Cell: 5.0559 5.0559 5.0559 Å, 60.00 60.00 60.00°
Positions (direct):
1 As 0.5000 0.5000 0.5000
2 Al 0.0000 0.0000 0.0000
3 K 0.7500 0.7500 0.7500

Entry 5:
DFT (GGA-PBE) results for an optimized crystal structure of H4SCl.

Summary:
- Calculated total energy: -0.25590 Ry per atom
- Space-group type: Pm (6)
- Size of the total moment: 0.0055 μB/atom
- Calculated density: 0.9 Mg/m³

Cell: 5.2647 4.8062 11.0348 Å, 90.00 90.00 98.24°
Positions (direct):
1 Cl 0.9820 0.9986 0.4455
2 H 0.3346 0.3675 0.2500
3 H 0.5014 0.1900 0.7500
4 Cl 0.9820 0.9986 0.0545
5 S 0.5598 0.5423 0.2500
6 H 0.0187 0.9956 0.7841
7 S 0.5309 0.4732 0.7500
8 H 0.6992 0.3272 0.2500
9 H 0.7921 0.8096 0.0874
10 H 0.7921 0.8096 0.4126
11 H 0.0187 0.9956 0.7159
12 H 0.7887 0.4923 0.7500

Entry 6:
DFT (GGA-PBE) results for an optimized crystal structure of Pm2AlOs2.

Summary:
- Space-group type: Immm (71)
- Size of the total moment: 0.0000 μB/atom
- Calculated density: 10.7 Mg/m³
- E_form: -291 meV/atom

Cell: 4.2629 5.5888 5.7575 Å, 119.04 111.73 90.00°
Positions (direct):
1 Os 0.5000 0.2786 0.0000
2 Os 0.5000 0.7214 0.0000
3 Pm 0.7971 0.2971 0.5942
4 Al 0.0000 0.0000 0.0000
5 Pm 0.2029 0.7029 0.4058

Entry 7:
DFT (GGA-PBE) results for an optimized crystal structure of BaZr3.

Summary:
- Space-group type: P2/m (10)
- Size of the total moment: 0.0000 μB/atom
- Calculated density: 5.8 Mg/m³
- E_form: 443 meV/atom

Cell: 5.1582 3.2370 7.1023 Å, 84.68 90.00 90.00°
Positions (direct):
1 Zr 0.5000 0.7439 0.6786
2 Zr 0.0000 0.5000 0.5000
3 Ba 0.0000 0.0000 0.0000
4 Zr 0.5000 0.2561 0.3214

Entry 8:
DFT (GGA-PBE) results for an optimized crystal structure of RbSr2LiAg.

Summary:
- Space-group type: P4/mmm (123)
- Size of the total moment: 0.0000 μB/atom
- Calculated density: 2.7 Mg/m³
- E_form: 36 meV/atom

Cell: 6.3060 6.3060 5.7112 Å, 90.00 90.00 90.00°
Positions (direct):
1 Sr 0.0000 0.5000 0.0000
2 Li 0.0000 0.0000 0.5000
3 Sr 0.5000 0.0000 0.0000
4 Ag 0.0000 0.0000 0.0000
5 Rb 0.5000 0.5000 0.5000

Entry 9:
DFT (GGA-PBE) results for an optimized crystal structure of TaSnSb3.

Summary:
- Space-group type: Pm-3m (221)
- Energy relative to the elements, uncorrected: 0.46 eV/atom
- Size of the total moment: 0.0000 μB/atom
- Calculated density: 7.1 Mg/m³

Cell: 5.3878 5.3878 5.3878 Å, 90.00 90.00 90.00°
Positions (direct):
1 Ta 0.0000 0.0000 0.0000
2 Sb 0.5000 0.0000 0.0000
3 Sb 0.0000 0.5000 0.0000
4 Sb 0.0000 0.0000 0.5000
5 Sn 0.5000 0.5000 0.5000

Entry 10:
DFT (GGA-PBE) results for an optimized crystal structure of HfP.

Summary:
- Space-group type: P6_3/m (176)
- Size of the total moment: 0.0000 μB/atom
- Calculated density: 8.4 Mg/m³
- E_form: -991 meV/atom

Cell: 7.4869 7.4869 5.1339 Å, 90.00 90.00 120.00°
Positions (direct):
1 Hf 0.3127 0.3761 0.7500
2 P 0.0702 0.7008 0.2500
3 Hf 0.3761 0.0634 0.2500
4 Hf 0.9366 0.3127 0.2500
5 P 0.3694 0.0702 0.7500
6 Hf 0.0634 0.6873 0.7500
7 Hf 0.6239 0.9366 0.7500
8 P 0.6306 0.9298 0.2500
9 Hf 0.6873 0.6239 0.2500
10 P 0.9298 0.2992 0.7500
11 P 0.2992 0.3694 0.2500
12 P 0.7008 0.6306 0.7500

Entry 11:
DFT (GGA-PBE) results for an optimized crystal structure of Sr2CaReO6.

Summary:
- Space-group type: P2_1/c (14)
- Energy relative to the elements, uncorrected: -2.50 eV/atom
- Size of the total moment: 0.1006 μB/atom
- Calculated density: 5.8 Mg/m³

Cell: 5.9239 5.8041 10.0720 Å, 55.09 90.00 90.00°
Positions (direct):
1 O 0.4746 0.3087 0.7726
2 Sr 0.9563 0.7590 0.2510
3 O 0.8110 0.2288 0.5396
4 O 0.2675 0.1377 0.5471
5 O 0.1890 0.7712 0.4604
6 Sr 0.5437 0.7590 0.7510
7 O 0.7675 0.8623 0.9529
8 O 0.6890 0.2288 0.0396
9 O 0.2325 0.1377 0.0471
10 Re 0.0000 0.0000 0.5000
11 Re 0.5000 0.0000 0.0000
12 O 0.3110 0.7712 0.9604
13 Ca 0.0000 0.5000 0.0000
14 O 0.9746 0.6913 0.7274
15 Ca 0.5000 0.5000 0.5000
16 Sr 0.4563 0.2410 0.2490
17 Sr 0.0437 0.2410 0.7490
18 O 0.7325 0.8623 0.4529
19 O 0.0254 0.3087 0.2726
20 O 0.5254 0.6913 0.2274

Entry 12:
DFT (GGA-PBE) results for an optimized crystal structure of Re2SiAg.

Summary:
- Space-group type: C2/m (12)
- Energy relative to the elements, uncorrected: 0.59 eV/atom
- Size of the total moment: 0.0000 μB/atom
- Calculated density: 13.9 Mg/m³

Cell: 5.3006 5.3006 2.7152 Å, 77.28 77.28 117.97°
Positions (direct):
1 Si 0.5000 0.0000 0.5000
2 Re 0.5000 0.5000 0.0000
3 Re 0.0000 0.0000 0.0000
4 Ag 0.0000 0.5000 0.5000

Entry 13:
DFT (GGA-PBE) results for an optimized crystal structure of Tm8CoHg2.

Summary:
- Space-group type: C2/m (12)
- Size of the total moment: 0.0001 μB/atom
- Calculated density: 10.5 Mg/m³
- E_form: -212 meV/atom

Cell: 5.2110 6.7117 8.9909 Å, 107.60 106.85 90.00°
Positions (direct):
1 Tm 0.8003 0.7039 0.6007
2 Hg 0.8145 0.2817 0.6290
3 Co 0.5000 0.0000 0.0000
4 Tm 0.4115 0.5801 0.8229
5 Tm 0.5885 0.4199 0.1771
6 Tm 0.1997 0.2961 0.3993
7 Tm 0.6494 0.9542 0.2988
8 Hg 0.1855 0.7183 0.3710
9 Tm 0.3506 0.0458 0.7012
10 Tm 0.9773 0.2131 0.9546
11 Tm 0.0227 0.7869 0.0454

Entry 14:
DFT (GGA-PBE) results for an optimized crystal structure of LaDy2Tm12.

Summary:
- Space-group type: C2/m (12)
- Size of the total moment: 0.0000 μB/atom
- Calculated density: 8.9 Mg/m³
- E_form: 114 meV/atom

Cell: 6.5434 6.5434 24.6093 Å, 83.32 83.32 114.77°
Positions (direct):
1 Tm 0.6774 0.1774 0.4283
2 Tm 0.8226 0.3226 0.5717
3 La 0.4866 0.9866 0.9999
4 Tm 0.3934 0.8934 0.1396
5 La 0.0134 0.5134 0.0001
6 Tm 0.9042 0.9037 0.7967
7 Dy 0.5430 0.0430 0.2729
8 Tm 0.8960 0.3960 0.1399
9 Tm 0.4436 0.4389 0.0772
10 Tm 0.5016 0.4991 0.3322
11 Tm 0.0564 0.0611 0.9228
12 Dy 0.0451 0.5451 0.2735
13 Tm 0.1066 0.6066 0.8604
14 Tm 0.9991 0.0016 0.3322
15 Tm 0.6680 0.6643 0.4458
16 Dy 0.9570 0.4570 0.7271
17 Dy 0.4549 0.9549 0.7265
18 Tm 0.3171 0.8171 0.5744
19 Tm 0.9389 0.9436 0.0772
20 Tm 0.6040 0.1040 0.8601
21 Tm 0.5009 0.4984 0.6678
22 Tm 0.9984 0.0009 0.6678
23 Tm 0.1829 0.6829 0.4256
24 Tm 0.4037 0.4042 0.7967
25 Tm 0.3357 0.3320 0.5542
26 Tm 0.5958 0.5963 0.2033
27 Tm 0.1643 0.1680 0.4458
28 Tm 0.8320 0.8357 0.5542
29 Tm 0.0963 0.0958 0.2033
30 Tm 0.5611 0.5564 0.9228

Entry 15:
DFT (GGA-PBE) results for an optimized crystal structure of Cd3Mo.

Summary:
- Space-group type: Pnma (62)
- Size of the total moment: 0.0000 μB/atom
- Calculated density: 9.1 Mg/m³
- E_form: 278 meV/atom

Cell: 4.5439 9.6088 7.2151 Å, 90.00 90.00 90.00°
Positions (direct):
1 Cd 0.2514 0.7500 0.1142
2 Cd 0.2486 0.2500 0.6142
3 Cd 0.7501 0.5016 0.1196
4 Mo 0.7511 0.7500 0.8424
5 Cd 0.7499 0.0016 0.6196
6 Mo 0.2489 0.2500 0.1576
7 Cd 0.2501 0.9984 0.3804
8 Cd 0.7501 0.9984 0.1196
9 Cd 0.2499 0.0016 0.8804
10 Mo 0.7489 0.2500 0.3424
11 Cd 0.2499 0.4984 0.8804
12 Cd 0.7486 0.2500 0.8858
13 Cd 0.2501 0.5016 0.3804
14 Mo 0.2511 0.7500 0.6576
15 Cd 0.7514 0.7500 0.3858
16 Cd 0.7499 0.4984 0.6196

Entry 16:
DFT (GGA-PBE) results for an optimized crystal structure of Hg2P2Au.

Summary:
- Space-group type: P4/mbm (127)
- Size of the total moment: 0.0000 μB/atom
- Calculated density: 10.3 Mg/m³
- E_form: 400 meV/atom

Cell: 7.1526 7.1526 4.1650 Å, 90.00 90.00 90.00°
Positions (direct):
1 Au 0.5000 0.5000 0.0000
2 Hg 0.1415 0.6415 0.5000
3 Hg 0.6415 0.8585 0.5000
4 Au 0.0000 0.0000 0.0000
5 Hg 0.8585 0.3585 0.5000
6 Hg 0.3585 0.1415 0.5000
7 P 0.6951 0.1951 0.0000
8 P 0.1951 0.3049 0.0000
9 P 0.8049 0.6951 0.0000
10 P 0.3049 0.8049 0.0000

Entry 17:
DFT (GGA-PBE) results for an optimized crystal structure of CrIr2Os2.

Summary:
- Space-group type: I4/mmm (139)
- Size of the total moment: 0.0002 μB/atom
- Calculated density: 19.5 Mg/m³
- E_form: -37 meV/atom

Cell: 2.7173 2.7173 9.6353 Å, 81.88 81.88 90.00°
Positions (direct):
1 Ir 0.7941 0.5940 0.8112
2 Cr 0.2001 0.0000 0.0000
3 Os 0.4011 0.2012 0.5973
4 Ir 0.6060 0.4059 0.1888
5 Os 0.9988 0.7988 0.4027

Entry 18:
DFT (GGA-PBE) results for an optimized crystal structure of HfThNb.

Summary:
- Space-group type: I4mm (107)
- Size of the total moment: 0.0000 μB/atom
- Calculated density: 11.8 Mg/m³
- E_form: 192 meV/atom

Cell: 3.5709 3.5709 6.0987 Å, 107.02 107.02 90.00°
Positions (direct):
1 Hf 0.3179 0.3179 0.6357
2 Nb 0.6726 0.6726 0.3452
3 Th 0.0095 0.0095 0.0191

Entry 19:
DFT (GGA-PBE) results for an optimized crystal structure of Na2Sn9Pb.

Summary:
- Space-group type: P4/mmm (123)
- Size of the total moment: 0.0000 μB/atom
- Calculated density: 6.7 Mg/m³
- E_form: -42 meV/atom

Cell: 4.6682 4.6682 15.1013 Å, 90.00 90.00 90.00°
Positions (direct):
1 Sn 0.0000 0.5000 0.1756
2 Sn 0.5000 0.5000 0.3393
3 Sn 0.5000 0.0000 0.5000
4 Sn 0.5000 0.5000 0.6607
5 Na 0.0000 0.0000 0.6610
6 Pb 0.0000 0.0000 0.0000
7 Sn 0.0000 0.5000 0.5000
8 Sn 0.0000 0.5000 0.8244
9 Sn 0.5000 0.0000 0.8244
10 Sn 0.5000 0.5000 0.0000
11 Sn 0.5000 0.0000 0.1756
12 Na 0.0000 0.0000 0.3390

Entry 20:
DFT (GGA-PBE) results for an optimized crystal structure of LaDy4Tm2.

Summary:
- Space-group type: P1 (1)
- Size of the total moment: 0.0000 μB/atom
- Calculated density: 8.3 Mg/m³
- E_form: 43 meV/atom

Cell: 7.0593 8.5882 8.8097 Å, 114.65 101.43 101.75°
Positions (direct):
1 Tm 0.7198 0.6769 0.4356
2 Tm 0.1272 0.1331 0.6065
3 Dy 0.8282 0.2423 0.3164
4 Dy 0.3327 0.2394 0.3160
5 Dy 0.9446 0.8376 0.1791
6 Dy 0.6247 0.1274 0.6038
7 Tm 0.8021 0.4146 0.0356
8 Dy 0.3081 0.4133 0.0376
9 Dy 0.4211 0.0123 0.9032
10 Dy 0.5278 0.5647 0.7726
11 Tm 0.4450 0.8346 0.1736
12 La 0.2217 0.6790 0.4460
13 Dy 0.0271 0.5650 0.7747
14 La 0.9199 0.0097 0.8994